[1]
An optimized crystal structure of Ce2Ni12SnP3, computed with PBE-GGA.

Results
The volume is 836.2 Å³/cell. The calculation puts the density at 7.13 g/cm3. For the formation energy, the calculation gives -187.3 kJ/mol of formula units. Its spin magnetization is 0.0 μB per formula unit. The value obtained for the energy is -5.745 eV per atom.

Cell: 7.4666 7.4666 17.3197 Å, 90.00 90.00 120.00°
Space group R-3m (No. 166, hexagonal axes)
Symmetry-distinct sites (fractional):
1 Ce 0.0000 0.0000 0.1086 (multiplicity 6)
2 Ni 0.0285 0.5142 0.3630 (multiplicity 18)
3 Ni 0.0371 0.5185 0.8736 (multiplicity 18)
4 Sn 0.0000 0.0000 0.5000 (multiplicity 3)
5 P 0.0000 0.5000 0.0000 (multiplicity 9)

---

[2]
An optimized crystal structure of HfScSn2Rh, computed with PBE-GGA.

Results
The volume is 123.4 Å³/cell. The calculation puts the density at 7.59 g/cm3. For the formation energy, the calculation gives 66.6 kJ/mol of formula units. Its spin magnetization is 0.5 μB per formula unit. The value obtained for the energy is -6.190 eV per atom.

Cell: 5.065 5.065 4.808 Å, 90.00 90.00 90.00°
Space group P4/mmm (No. 123)
Symmetry-distinct sites (fractional):
1 Hf 0.000 0.000 0.000 (multiplicity 1)
2 Sc 0.500 0.500 0.000 (multiplicity 1)
3 Sn 0.000 0.500 0.500 (multiplicity 2)
4 Rh 0.500 0.500 0.500 (multiplicity 1)

---

- What is the spin magnetization in the first record?
  0.0 μB per formula unit